Material: DyTm3O
Method: DFT, PBE-GGA
State: optimized geometry

```
5
Lattice="4.869 0.000 0.000 0.000 4.869 0.000 0.000 0.000 4.869" Properties=species:S:1:pos:R:3 pbc="T T T"
Dy 0.000 0.000 0.000
Tm 0.000 2.435 2.435
Tm 2.435 0.000 2.435
Tm 2.435 2.435 0.000
O 2.435 2.435 2.435
```

- Formation energy without anion corrections: -1.09 eV/atom

---

Material: DyTmO3
Method: DFT, PBE-GGA
State: optimized geometry

```
5
Lattice="5.910 0.000 0.000 -2.955 5.118 0.000 0.000 0.000 3.025" Properties=species:S:1:pos:R:3 pbc="T T T"
Dy 0.000 0.000 0.000
Tm 0.000 3.412 0.000
O 0.000 1.727 1.512
O -1.460 4.255 1.512
O 1.460 4.255 1.512
```

- Formation energy without anion corrections: -3.42 eV/atom

---

Material: DyTm2O4
Method: DFT, PBE-GGA
State: optimized geometry

```
7
Lattice="5.194 0.000 0.000 0.000 5.194 0.000 0.000 0.000 5.282" Properties=species:S:1:pos:R:3 pbc="T T T"
Dy 0.000 0.000 0.000
Tm 0.000 2.597 2.641
Tm 2.597 0.000 2.641
O 1.130 1.130 1.528
O 1.130 4.064 3.754
O 4.064 1.130 3.754
O 4.064 4.064 1.528
```

- Formation energy without anion corrections: -3.01 eV/atom

---

Material: DyTmO3
Method: DFT, PBE-GGA
State: optimized geometry

```
10
Lattice="2.785 1.608 5.428 -2.785 1.608 5.428 0.000 -3.215 5.428" Properties=species:S:1:pos:R:3 pbc="T T T"
Dy 0.000 0.000 2.363
Dy 0.000 0.000 13.920
Tm 0.000 0.000 5.729
Tm 0.000 0.000 10.553
O -1.149 -1.575 6.775
O -0.790 -1.783 9.508
O -0.790 1.783 6.775
O -1.149 1.575 9.508
O 1.939 -0.207 6.775
O 1.939 0.207 9.508
```

- Formation energy without anion corrections: -3.43 eV/atom

---

Material: DyTmO
Method: DFT, PBE-GGA
State: optimized geometry

```
3
Lattice="3.493 0.000 0.000 -1.747 3.025 0.000 0.000 0.000 5.668" Properties=species:S:1:pos:R:3 pbc="T T T"
Dy 0.000 0.000 0.000
Tm 0.000 2.017 2.684
O 1.747 1.008 1.409
```

- Formation energy without anion corrections: -1.81 eV/atom

---

Material: Dy3TmO6
Method: DFT, PBE-GGA
State: optimized geometry

```
20
Lattice="4.806 2.774 3.756 -4.806 2.774 3.756 0.000 -5.549 3.756" Properties=species:S:1:pos:R:3 pbc="T T T"
Dy -3.338 -0.889 5.156
Dy -0.899 -3.335 6.111
Dy -2.439 2.446 6.111
Dy 2.439 -2.446 5.156
Dy 0.899 3.335 5.156
Dy 3.338 0.889 6.111
Tm 0.000 0.000 0.000
Tm 0.000 0.000 5.634
O -3.142 -3.007 6.074
O -4.175 1.217 5.194
O -1.167 -1.579 4.542
O 1.033 -4.224 5.194
O -1.951 0.222 6.725
O -0.784 1.801 4.542
O 0.784 -1.801 6.725
O 1.951 -0.222 4.542
O -1.033 4.224 6.074
O 1.167 1.579 6.725
O 4.175 -1.217 6.074
O 3.142 3.007 5.194
```

- Formation energy without anion corrections: -3.60 eV/atom

---

Material: Dy3TmO
Method: DFT, PBE-GGA
State: optimized geometry

```
5
Lattice="4.917 0.000 0.000 0.000 4.917 0.000 0.000 0.000 4.917" Properties=species:S:1:pos:R:3 pbc="T T T"
Dy 0.000 0.000 2.459
Dy 0.000 2.459 0.000
Dy 2.459 0.000 0.000
Tm 2.459 2.459 2.459
O 0.000 0.000 0.000
```

- Formation energy without anion corrections: -1.11 eV/atom

---

Material: DyTm2UO8
Method: DFT, PBE-GGA
State: optimized geometry

```
12
Lattice="3.837 0.000 0.000 0.000 5.260 0.000 0.000 0.000 7.486" Properties=species:S:1:pos:R:3 pbc="T T T"
Dy 0.000 0.000 0.000
Tm 1.919 2.630 1.867
Tm 1.919 2.630 5.620
U 0.000 0.000 3.743
O 0.000 1.287 2.023
O 0.000 1.287 5.463
O 0.000 3.973 2.023
O 0.000 3.973 5.463
O 1.919 1.240 3.743
O 1.919 1.340 0.000
O 1.919 3.920 0.000
O 1.919 4.020 3.743
```

- Formation energy without anion corrections: -3.31 eV/atom

---

Material: Dy2TmUO8
Method: DFT, PBE-GGA
State: optimized geometry

```
12
Lattice="3.840 0.000 0.000 0.000 5.311 0.000 0.000 0.000 7.503" Properties=species:S:1:pos:R:3 pbc="T T T"
Dy 0.000 0.000 1.862
Dy 0.000 0.000 5.641
Tm 1.920 2.656 0.000
U 1.920 2.656 3.752
O 0.000 1.348 0.000
O 0.000 1.419 3.752
O 0.000 3.892 3.752
O 0.000 3.963 0.000
O 1.920 1.381 2.016
O 1.920 1.381 5.488
O 1.920 3.930 2.016
O 1.920 3.930 5.488
```

- Formation energy without anion corrections: -3.29 eV/atom